The following is a PBE calculation of an optimized crystal structure of ZnSbPb2, from the Alexandria database.

Properties
- Crystal system: monoclinic
- Energy relative to the elements, uncorrected: 0.18 eV/atom
- Energy above the most stable polymorph in this dataset: 76 meV per atom
- Density of states at the Fermi level: 1.71 states/eV per cell
- Final energy: -3.024 eV/atom

Unit cell a=3.356 b=5.388 c=6.168 alpha=90.00 beta=91.77 gamma=90.00
Positions (direct):
Zn 0.000 0.000 0.000
Sb 0.500 0.000 0.500
Pb 0.231 0.500 0.761
Pb 0.769 0.500 0.239